SiTc2SO | PBE-GGA | optimized geometry

a = 4.684 Å, b = 4.684 Å, c = 3.331 Å
α = 90.00°, β = 90.00°, γ = 90.00°
Space group P4/mmm (No. 123)
Inequivalent atoms, fractional coordinates:
Si 0.000 0.000 0.000 x1
Tc 0.000 0.500 0.000 x2
S 0.500 0.500 0.500 x1
O 0.000 0.000 0.500 x1

formation energy from raw total energies: 0.4583 eV per atom